<A>
CeZr2Ge: optimized geometry, PBE.

* size of the total moment: 0.0 μB/f.u.

Lattice parameters (Å, degrees): 8.7608 8.7608 8.7608 23.60 23.60 23.60
Positions (direct):
1 Ce 0.0000 0.0000 0.0000
2 Zr 0.2341 0.2341 0.2341
3 Zr 0.7659 0.7659 0.7659
4 Ge 0.5000 0.5000 0.5000



<B>
CeZr2Ge: optimized geometry, PBE.

* size of the total moment: 0.0 μB/f.u.

Lattice parameters (Å, degrees): 4.5704 4.5704 4.0996 90.00 90.00 90.00
Positions (direct):
1 Ce 0.0000 0.0000 0.0000
2 Zr 0.0000 0.5000 0.5000
3 Zr 0.5000 0.0000 0.5000
4 Ge 0.5000 0.5000 0.0000



<B> takes first place; second place is 19.3 kJ/mol of atoms up.



<A>
CeHfH4: optimized geometry, PBE.

* size of the total moment: 0.7 μB/f.u.

Lattice parameters (Å, degrees): 3.4063 3.4063 5.4625 90.00 90.00 90.00
Positions (direct):
1 Ce 0.0000 0.0000 0.0000
2 Hf 0.5000 0.5000 0.5000
3 H 0.0000 0.5000 0.2921
4 H 0.0000 0.5000 0.7079
5 H 0.5000 0.0000 0.2921
6 H 0.5000 0.0000 0.7079



<B>
CeHfH4: optimized geometry, PBE.

* size of the total moment: 0.8 μB/f.u.

Lattice parameters (Å, degrees): 6.0660 6.0660 6.0660 129.84 129.84 73.66
Positions (direct):
1 Ce 0.3750 0.6250 0.7500
2 Ce 0.6250 0.3750 0.2500
3 Hf 0.1250 0.8750 0.2500
4 Hf 0.8750 0.1250 0.7500
5 H 0.0000 0.2120 0.2120
6 H 0.0000 0.7880 0.7880
7 H 0.2120 0.0000 0.7120
8 H 0.2120 0.5000 0.2120
9 H 0.5000 0.2120 0.7120
10 H 0.5000 0.7880 0.2880
11 H 0.7880 0.0000 0.2880
12 H 0.7880 0.5000 0.7880



<A> takes first place; second place is 3.2 kJ/mol of atoms up.